VASP calculation (GGA-PBE) on a relaxed CeGe2Se6 crystal.

a b c (Å): 8.9072 8.9072 6.9879
angles (deg): 103.23 103.23 82.01
Atoms (fractional coordinates):
Ce: 0.1330 0.8670 0.7500
Ce: 0.8670 0.1330 0.2500
Ge: 0.2279 0.3773 0.7517
Ge: 0.3773 0.2279 0.2517
Ge: 0.6227 0.7721 0.7483
Ge: 0.7721 0.6227 0.2483
Se: 0.0418 0.1855 0.6611
Se: 0.1188 0.6127 0.9218
Se: 0.1855 0.0418 0.1611
Se: 0.2880 0.4567 0.4746
Se: 0.3873 0.8812 0.5782
Se: 0.4567 0.2880 0.9746
Se: 0.5433 0.7120 0.0254
Se: 0.6127 0.1188 0.4218
Se: 0.7120 0.5433 0.5254
Se: 0.8145 0.9582 0.8389
Se: 0.8812 0.3873 0.0782
Se: 0.9582 0.8145 0.3389

VASP calculation (GGA-PBE) on a relaxed Ce2Ge2Se5 crystal.

a b c (Å): 10.4117 10.4117 10.4117
angles (deg): 61.28 138.20 137.31
Atoms (fractional coordinates):
Ce: 0.0193 0.1045 0.1238
Ce: 0.0193 0.3955 0.4147
Ce: 0.9807 0.6045 0.5853
Ce: 0.9807 0.8955 0.8762
Ge: 0.4531 0.4531 0.0000
Ge: 0.4531 0.9531 0.5000
Ge: 0.5555 0.8169 0.2387
Ge: 0.5782 0.3169 0.7613
Se: 0.1282 0.7212 0.9070
Se: 0.2434 0.0163 0.5229
Se: 0.2434 0.2205 0.7271
Se: 0.4875 0.1934 0.2362
Se: 0.4875 0.7513 0.7941
Se: 0.4934 0.5163 0.2729
Se: 0.4934 0.7205 0.4771
Se: 0.8142 0.2212 0.0930
Se: 0.9572 0.2513 0.7638
Se: 0.9572 0.6934 0.2059

N(E_F) in states/eV per cell: 23.66

VASP calculation (GGA-PBE) on a relaxed Ce3GeSe2 crystal.

a b c (Å): 7.3161 7.3161 7.3250
angles (deg): 99.62 99.62 119.99
Atoms (fractional coordinates):
Ce: 0.0000 0.5000 0.0000
Ce: 0.1649 0.3294 0.4993
Ce: 0.3294 0.1649 0.9993
Ce: 0.5000 0.0000 0.5000
Ce: 0.6706 0.8351 0.0007
Ce: 0.8351 0.6706 0.5007
Ge: 0.0850 0.9150 0.2500
Ge: 0.9150 0.0850 0.7500
Se: 0.2507 0.7493 0.7500
Se: 0.4167 0.5833 0.2500
Se: 0.5833 0.4167 0.7500
Se: 0.7493 0.2507 0.2500

N(E_F) in states/eV per cell: 33.77

VASP calculation (GGA-PBE) on a relaxed Ce6Ge3Se14 crystal.

a b c (Å): 10.6562 10.6562 6.1308
angles (deg): 90.00 90.00 120.00
Atoms (fractional coordinates):
Ce: 0.0255 0.5616 0.0000
Ce: 0.3067 0.1048 0.4945
Ce: 0.4384 0.4640 0.0000
Ce: 0.5360 0.9745 0.0000
Ce: 0.7981 0.6933 0.4945
Ce: 0.8952 0.2019 0.4945
Ge: 0.0000 0.0000 0.9117
Ge: 0.3333 0.6667 0.4185
Ge: 0.6667 0.3333 0.7645
Se: 0.0000 0.0000 0.3006
Se: 0.0858 0.8485 0.7512
Se: 0.1515 0.2373 0.7512
Se: 0.1817 0.4291 0.2562
Se: 0.2474 0.8183 0.2562
Se: 0.3333 0.6667 0.8074
Se: 0.4084 0.1688 0.0138
Se: 0.5064 0.4289 0.5225
Se: 0.5711 0.0775 0.5225
Se: 0.5709 0.7526 0.2562
Se: 0.7604 0.5916 0.0138
Se: 0.7627 0.9142 0.7512
Se: 0.8312 0.2396 0.0138
Se: 0.9225 0.4936 0.5225

N(E_F) in states/eV per cell: 43.58

VASP calculation (GGA-PBE) on a relaxed Ce2GeSe5 crystal.

a b c (Å): 7.8500 11.5368 4.1734
angles (deg): 90.00 90.00 90.00
Atoms (fractional coordinates):
Ce: 0.0687 0.1725 0.0000
Ce: 0.4313 0.6725 0.0000
Ce: 0.5687 0.3275 0.0000
Ce: 0.9313 0.8275 0.0000
Ge: 0.0000 0.5000 0.5000
Ge: 0.5000 0.0000 0.5000
Se: 0.0000 0.0000 0.5000
Se: 0.1521 0.7045 0.5000
Se: 0.1900 0.4273 0.0000
Se: 0.3100 0.9273 0.0000
Se: 0.3479 0.2045 0.5000
Se: 0.5000 0.5000 0.5000
Se: 0.6521 0.7955 0.5000
Se: 0.6900 0.0727 0.0000
Se: 0.8100 0.5727 0.0000
Se: 0.8479 0.2955 0.5000

N(E_F) in states/eV per cell: 18.22
Energy above the lowest structure with this stoichiometry in eV per atom: 0.000

VASP calculation (GGA-PBE) on a relaxed Ce6SiGe2Se3 crystal.

a b c (Å): 9.4333 9.4333 8.4315
angles (deg): 102.61 102.61 25.92
Atoms (fractional coordinates):
Ce: 0.0007 0.0007 0.2447
Ce: 0.3325 0.3325 0.4190
Ce: 0.3355 0.3355 0.9152
Ce: 0.6645 0.6645 0.0848
Ce: 0.6675 0.6675 0.5810
Ce: 0.9993 0.9993 0.7553
Si: 0.5000 0.5000 0.0000
Ge: 0.1666 0.1666 0.3334
Ge: 0.8334 0.8334 0.6666
Se: 0.1671 0.1671 0.8334
Se: 0.5000 0.5000 0.5000
Se: 0.8329 0.8329 0.1666

N(E_F) in states/eV per cell: 28.32

VASP calculation (GGA-PBE) on a relaxed Sr2CeGeSe5 crystal.

a b c (Å): 9.5751 9.5751 12.5613
angles (deg): 90.00 90.00 153.35
Atoms (fractional coordinates):
Sr: 0.1115 0.8885 0.5000
Sr: 0.1209 0.8791 0.1340
Sr: 0.8791 0.1209 0.6340
Sr: 0.8885 0.1115 0.0000
Ce: 0.2106 0.7894 0.8396
Ce: 0.7894 0.2106 0.3396
Ge: 0.4493 0.5507 0.2674
Ge: 0.5507 0.4493 0.7674
Se: 0.0498 0.9502 0.8713
Se: 0.2878 0.7122 0.4941
Se: 0.3213 0.6787 0.1849
Se: 0.3634 0.6366 0.8203
Se: 0.4976 0.5024 0.5850
Se: 0.5024 0.4976 0.0850
Se: 0.6366 0.3634 0.3203
Se: 0.6787 0.3213 0.6849
Se: 0.7122 0.2878 0.9941
Se: 0.9502 0.0498 0.3713

N(E_F) in states/eV per cell: 12.04

VASP calculation (GGA-PBE) on a relaxed TbCeGeSe crystal.

a b c (Å): 7.2528 7.2528 7.2528
angles (deg): 33.60 33.60 33.60
Atoms (fractional coordinates):
Tb: 0.0000 0.0000 0.0000
Ce: 0.4943 0.4943 0.4943
Ge: 0.7469 0.7469 0.7469
Se: 0.2493 0.2493 0.2493

N(E_F) in states/eV per cell: 5.41

VASP calculation (GGA-PBE) on a relaxed Ce4GeTeSe2 crystal.

a b c (Å): 7.3897 4.2921 7.4830
angles (deg): 90.00 109.45 90.00
Atoms (fractional coordinates):
Ce: 0.2380 0.0000 0.2338
Ce: 0.2473 0.5000 0.7604
Ce: 0.7527 0.5000 0.2396
Ce: 0.7620 0.0000 0.7662
Ge: 0.5000 0.0000 0.0000
Te: 0.5000 0.5000 0.5000
Se: 0.0000 0.0000 0.5000
Se: 0.0000 0.5000 0.0000

N(E_F) in states/eV per cell: 24.50

VASP calculation (GGA-PBE) on a relaxed CeThGeSe crystal.

a b c (Å): 7.3026 7.3026 7.3026
angles (deg): 34.00 34.00 34.00
Atoms (fractional coordinates):
Ce: 0.0000 0.0000 0.0000
Th: 0.5043 0.5043 0.5043
Ge: 0.2530 0.2530 0.2530
Se: 0.7511 0.7511 0.7511

N(E_F) in states/eV per cell: 6.54

VASP calculation (GGA-PBE) on a relaxed CeTl3Ge2Se6 crystal.

a b c (Å): 7.2221 7.2221 7.8060
angles (deg): 98.81 98.81 120.06
Atoms (fractional coordinates):
Ce: 0.0000 0.0000 0.0000
Tl: 0.1640 0.8360 0.5000
Tl: 0.5000 0.5000 0.5000
Tl: 0.8360 0.1640 0.5000
Ge: 0.3334 0.6666 0.0000
Ge: 0.6666 0.3334 0.0000
Se: 0.0680 0.4075 0.2035
Se: 0.2737 0.2737 0.7993
Se: 0.4075 0.0680 0.2035
Se: 0.5925 0.9320 0.7965
Se: 0.7263 0.7263 0.2007
Se: 0.9320 0.5925 0.7965

N(E_F) in states/eV per cell: 9.11

VASP calculation (GGA-PBE) on a relaxed CeTmGeSe crystal.

a b c (Å): 7.1849 7.1849 7.1849
angles (deg): 33.65 33.65 33.65
Atoms (fractional coordinates):
Ce: 0.0000 0.0000 0.0000
Tm: 0.4935 0.4935 0.4935
Ge: 0.7487 0.7487 0.7487
Se: 0.2427 0.2427 0.2427

N(E_F) in states/eV per cell: 5.58

no.,ΔE_f (raw) (meV/atom),E (eV per cell)
1,-595,-82.86
2,-947,-94.09
3,-1491,-76.67
4,-1283,-127.74
5,-1260,-87.98
6,-1260,-75.83
7,-1465,-89.05
8,-1344,-24.04
9,-1441,-50.00
10,-1268,-26.53
11,-625,-50.68
12,-1313,-23.76